An optimized crystal structure of PaBiS3. Source: Alexandria via LeMat-Bulk, functional PBE.

Calculated values
Energy above the most stable polymorph in this dataset, meV per atom: 187
Uncorrected formation energy, meV/atom: -902
Space group: C2/m
DFT total energy, eV per atom: -6.05

Cell: 3.695 9.888 8.617 Å, 108.41 102.38 90.00°
Element x y z (fractional)
Pa 0.648 0.334 0.296
Pa 0.352 0.666 0.704
Bi 0.848 0.168 0.697
Bi 0.152 0.832 0.303
S 0.033 0.222 0.067
S 0.967 0.778 0.933
S 0.318 0.914 0.636
S 0.682 0.086 0.364
S 0.178 0.556 0.357
S 0.822 0.444 0.643